## i
Be2MoW after structural relaxation, computed with PBE-GGA. Values from VASP.

```
&SYSTEM
  ibrav = 0, nat = 4, ntyp = 3
/
ATOMIC_SPECIES
Mo 95.94 Mo.upf
Be 9.01 Be.upf
W 183.84 W.upf
ATOMIC_POSITIONS angstrom
Mo 1.742 0.000 1.737
Be 0.000 0.000 0.000
Be 1.742 2.042 0.000
W 0.000 2.042 1.737
CELL_PARAMETERS angstrom
3.484 0.000 0.000
0.000 4.084 0.000
0.000 0.000 3.473
```

## Properties
mass density: 10.0 g/cm³
DOS at the Fermi energy: 0.511 states/eV/atom

---

## ii
Be2MoW after structural relaxation, computed with PBE-GGA. Values from VASP.

```
&SYSTEM
  ibrav = 0, nat = 4, ntyp = 3
/
ATOMIC_SPECIES
W 183.84 W.upf
Be 9.01 Be.upf
Mo 95.94 Mo.upf
ATOMIC_POSITIONS angstrom
W 1.743 3.389 3.996
Be 0.000 2.250 2.671
Be 0.000 1.856 5.304
Mo 1.743 1.130 1.332
CELL_PARAMETERS angstrom
3.487 0.000 0.000
0.000 2.673 0.017
0.000 1.846 5.311
```

## Properties
mass density: 10.0 g/cm³
DOS at the Fermi energy: 0.481 states/eV/atom

---

## iii
Be2MoW after structural relaxation, computed with PBE-GGA. Values from VASP.

```
&SYSTEM
  ibrav = 0, nat = 4, ntyp = 3
/
ATOMIC_SPECIES
W 183.84 W.upf
Be 9.01 Be.upf
Mo 95.94 Mo.upf
ATOMIC_POSITIONS angstrom
W 1.301 2.020 3.825
Be 0.000 0.000 4.985
Be 1.301 2.020 1.277
Mo 0.000 0.000 2.440
CELL_PARAMETERS angstrom
2.602 0.000 0.000
0.000 4.041 0.000
0.000 0.000 5.011
```

## Properties
mass density: 9.4 g/cm³
DOS at the Fermi energy: 0.463 states/eV/atom

---

Least stable structure: iii

---

## i
Be2MoW after structural relaxation, computed with PBE-GGA. Values from VASP.

```
&SYSTEM
  ibrav = 0, nat = 4, ntyp = 3
/
ATOMIC_SPECIES
Mo 95.94 Mo.upf
Be 9.01 Be.upf
W 183.84 W.upf
ATOMIC_POSITIONS angstrom
Mo 0.000 0.000 2.527
Be 1.589 1.589 1.335
Be 0.000 0.000 5.096
W 1.589 1.589 3.902
CELL_PARAMETERS angstrom
3.179 0.000 0.000
0.000 3.179 0.000
0.000 0.000 5.144
```

## Properties
mass density: 9.5 g/cm³
DOS at the Fermi energy: 0.462 states/eV/atom

---

## ii
Be2MoW after structural relaxation, computed with PBE-GGA. Values from VASP.

```
&SYSTEM
  ibrav = 0, nat = 4, ntyp = 3
/
ATOMIC_SPECIES
Be 9.01 Be.upf
W 183.84 W.upf
Mo 95.94 Mo.upf
ATOMIC_POSITIONS angstrom
Be -1.571 2.413 -0.637
Be -7.166 2.161 0.540
W -1.481 1.100 1.592
Mo -3.778 1.139 0.285
CELL_PARAMETERS angstrom
-3.490 2.338 -1.974
-3.890 -0.113 2.530
4.453 1.250 0.389
```

## Properties
mass density: 10.0 g/cm³
DOS at the Fermi energy: 0.397 states/eV/atom

---

Least stable structure: i

---

## i
Be2MoW after structural relaxation, computed with PBE-GGA. Values from VASP.

```
&SYSTEM
  ibrav = 0, nat = 8, ntyp = 3
/
ATOMIC_SPECIES
Be 9.01 Be.upf
W 183.84 W.upf
Mo 95.94 Mo.upf
ATOMIC_POSITIONS angstrom
Be 3.195 -10.679 1.686
Be -0.675 -4.950 -0.105
Be 1.729 -6.507 1.756
Be 3.315 -3.570 1.210
W -0.111 -7.133 0.475
W 0.000 0.000 0.000
Mo 1.498 -4.187 -0.063
Mo 3.893 -5.720 1.798
CELL_PARAMETERS angstrom
-2.506 -5.600 -1.386
5.502 -2.775 1.260
0.787 -4.479 2.400
```

## Properties
mass density: 9.7 g/cm³
DOS at the Fermi energy: 0.202 states/eV/atom

---

## ii
Be2MoW after structural relaxation, computed with PBE-GGA. Values from VASP.

```
&SYSTEM
  ibrav = 0, nat = 4, ntyp = 3
/
ATOMIC_SPECIES
Be 9.01 Be.upf
Mo 95.94 Mo.upf
W 183.84 W.upf
ATOMIC_POSITIONS angstrom
Be 3.255 0.429 1.185
Be 0.000 0.000 0.000
Mo -0.742 2.280 1.190
W 1.627 1.849 0.001
CELL_PARAMETERS angstrom
5.624 -0.001 -0.003
-2.370 3.700 0.005
0.885 0.859 2.374
```

## Properties
mass density: 10.0 g/cm³
DOS at the Fermi energy: 0.501 states/eV/atom

---

Least stable structure: i

---

## i
Be2MoW after structural relaxation, computed with PBE-GGA. Values from VASP.

```
&SYSTEM
  ibrav = 0, nat = 4, ntyp = 3
/
ATOMIC_SPECIES
W 183.84 W.upf
Mo 95.94 Mo.upf
Be 9.01 Be.upf
ATOMIC_POSITIONS angstrom
W -0.721 1.941 5.388
Mo 0.430 0.432 3.057
Be 0.043 0.043 0.305
Be -1.279 1.380 1.420
CELL_PARAMETERS angstrom
-0.316 2.636 -0.328
-2.630 -0.265 0.407
0.946 0.950 6.727
```

## Properties
mass density: 10.1 g/cm³
DOS at the Fermi energy: 0.337 states/eV/atom

---

## ii
Be2MoW after structural relaxation, computed with PBE-GGA. Values from VASP.

```
&SYSTEM
  ibrav = 0, nat = 4, ntyp = 3
/
ATOMIC_SPECIES
W 183.84 W.upf
Be 9.01 Be.upf
Mo 95.94 Mo.upf
ATOMIC_POSITIONS angstrom
W -1.281 -1.675 1.454
Be 0.144 -3.441 0.266
Be 0.000 0.000 0.000
Mo 1.391 -1.561 1.479
CELL_PARAMETERS angstrom
-2.529 -3.555 0.240
2.817 -3.328 0.291
-0.178 3.646 2.401
```

## Properties
mass density: 10.0 g/cm³
DOS at the Fermi energy: 0.467 states/eV/atom

---

Least stable structure: ii

---

## i
Be2MoW after structural relaxation, computed with PBE-GGA. Values from VASP.

```
&SYSTEM
  ibrav = 0, nat = 4, ntyp = 3
/
ATOMIC_SPECIES
W 183.84 W.upf
Mo 95.94 Mo.upf
Be 9.01 Be.upf
ATOMIC_POSITIONS angstrom
W -0.819 -4.504 3.070
Mo -1.348 -1.454 1.468
Be 0.001 -0.005 0.003
Be 0.528 -3.045 1.600
CELL_PARAMETERS angstrom
-0.896 1.050 2.294
-2.328 -0.909 -0.961
1.058 -6.100 3.205
```

## Properties
mass density: 10.0 g/cm³
DOS at the Fermi energy: 0.508 states/eV/atom

---

## ii
Be2MoW after structural relaxation, computed with PBE-GGA. Values from VASP.

```
&SYSTEM
  ibrav = 0, nat = 4, ntyp = 3
/
ATOMIC_SPECIES
Mo 95.94 Mo.upf
Be 9.01 Be.upf
W 183.84 W.upf
ATOMIC_POSITIONS angstrom
Mo 1.924 1.762 1.339
Be -0.259 0.876 1.884
Be 1.889 4.195 1.714
W 2.537 3.099 3.774
CELL_PARAMETERS angstrom
-1.554 -0.461 2.841
2.831 -0.202 1.516
1.359 4.278 1.438
```

## Properties
mass density: 10.6 g/cm³
DOS at the Fermi energy: 0.199 states/eV/atom

---

Least stable structure: i

---

## i
Be2MoW after structural relaxation, computed with PBE-GGA. Values from VASP.

```
&SYSTEM
  ibrav = 0, nat = 8, ntyp = 3
/
ATOMIC_SPECIES
W 183.84 W.upf
Be 9.01 Be.upf
Mo 95.94 Mo.upf
ATOMIC_POSITIONS angstrom
W 1.632 1.736 2.009
W 1.632 2.959 5.048
Be 0.000 1.741 0.234
Be 1.632 0.603 5.843
Be 0.000 2.954 3.274
Be 1.632 4.093 2.803
Mo 0.000 4.086 1.033
Mo 0.000 0.610 4.072
CELL_PARAMETERS angstrom
3.265 0.000 0.000
0.000 4.695 0.000
0.000 0.000 6.079
```

## Properties
mass density: 10.6 g/cm³
DOS at the Fermi energy: 0.191 states/eV/atom

---

## ii
Be2MoW after structural relaxation, computed with PBE-GGA. Values from VASP.

```
&SYSTEM
  ibrav = 0, nat = 4, ntyp = 3
/
ATOMIC_SPECIES
Be 9.01 Be.upf
Mo 95.94 Mo.upf
W 183.84 W.upf
ATOMIC_POSITIONS angstrom
Be 12.150 1.979 1.163
Be 24.297 3.957 2.325
Mo 6.075 0.989 0.581
W 18.224 2.968 1.744
CELL_PARAMETERS angstrom
8.391 -0.013 -0.007
7.953 2.675 -0.007
7.953 1.295 2.340
```

## Properties
mass density: 9.3 g/cm³
DOS at the Fermi energy: 0.513 states/eV/atom

---

Least stable structure: ii

---

## i
Be2MoW after structural relaxation, computed with PBE-GGA. Values from VASP.

```
&SYSTEM
  ibrav = 0, nat = 4, ntyp = 3
/
ATOMIC_SPECIES
W 183.84 W.upf
Be 9.01 Be.upf
Mo 95.94 Mo.upf
ATOMIC_POSITIONS angstrom
W 1.333 1.333 5.227
Be 0.000 0.000 0.002
Be 0.000 0.000 3.482
Mo 1.333 1.333 1.742
CELL_PARAMETERS angstrom
2.666 0.000 0.000
0.000 2.666 0.000
0.000 0.000 6.969
```

## Properties
mass density: 10.0 g/cm³
DOS at the Fermi energy: 0.319 states/eV/atom

---

## ii
Be2MoW after structural relaxation, computed with PBE-GGA. Values from VASP.

```
&SYSTEM
  ibrav = 0, nat = 4, ntyp = 3
/
ATOMIC_SPECIES
Be 9.01 Be.upf
W 183.84 W.upf
Mo 95.94 Mo.upf
ATOMIC_POSITIONS angstrom
Be -6.557 3.623 0.621
Be -2.186 1.208 0.207
W -4.371 2.415 0.414
Mo 0.000 0.000 0.000
CELL_PARAMETERS angstrom
-2.588 1.800 2.608
-2.117 3.300 -1.170
-4.037 -0.270 -0.611
```

## Properties
mass density: 10.2 g/cm³
DOS at the Fermi energy: 1.016 states/eV/atom

---

Least stable structure: ii